This record from the Alexandria database describes a geometry-optimized SrZrCuCl2 structure. The functional is PBE.

Lattice parameters (Å, degrees): 4.8808 5.9104 4.8808 90.00 90.00 90.00
Closest atoms and distances in Å follow each position.
Fractional coordinates of all 5 atoms:
Cl  0.5000  0.0000  0.0000  2 Cu 2.44
Cl  0.0000  0.0000  0.5000  2 Cu 2.44
Sr  0.0000  0.5000  0.0000  2 Cu 2.96
Cu  0.0000  0.0000  0.0000  4 Cl 2.44
Zr  0.5000  0.5000  0.5000  4 Sr 3.45, 8 Cl 3.83

Properties
Raw formation energy (meV/atom): 315
Fermi-level density of states (states/eV/cell): 7.2
Space-group type: P4/mmm (123)